(1)
Entry from Alexandria via LeMat-Bulk: a relaxed LaTlMo4 crystal (PBE-GGA).

As for the formation energy: 0.462 eV/atom. The calculation puts the total energy at -7.9745 eV/atom. The volume comes out at 479.3 Å³ per cell.

The structure belongs to space group F-43m (No. 216); the cell edges are 7.826, 7.826 and 7.826 Å and the angles 90.00°, 90.00° and 90.00°. The distinct sites, in fractional coordinates, are La at (0.000, 0.000, 0.000), Tl at (0.250, 0.250, 0.250) and Mo at (0.125, 0.125, 0.625).



(2)
Entry from Alexandria via LeMat-Bulk: a relaxed LaTl2Mo crystal (PBE-GGA).

As for the formation energy: 0.349 eV/atom. The calculation puts the total energy at -4.7738 eV/atom. The volume comes out at 200.2 Å³ per cell. The value obtained for the polymorph energy (0 for the lowest one) is 0.89 kcal/mol of atoms.

The structure belongs to space group C2/m (No. 12); the cell edges are 10.569, 3.313 and 5.862 Å and the angles 90.00°, 102.77° and 90.00°. The distinct sites, in fractional coordinates, are La at (0.000, 0.000, 0.000), Tl at (0.233, 0.000, 0.715) and Mo at (0.000, 0.500, 0.500).



(3)
Entry from Alexandria via LeMat-Bulk: a relaxed LaTlMo3 crystal (PBE-GGA).

As for the formation energy: 2.023 eV/atom. The calculation puts the total energy at -5.9341 eV/atom. The volume comes out at 131.2 Å³ per cell. The value obtained for the polymorph energy (0 for the lowest one) is 0.00 kcal/mol of atoms.

The structure belongs to space group Pm-3m (No. 221); the cell edges are 5.081, 5.081 and 5.081 Å and the angles 90.00°, 90.00° and 90.00°. The distinct sites, in fractional coordinates, are La at (0.000, 0.000, 0.000), Tl at (0.500, 0.500, 0.500) and Mo at (0.000, 0.500, 0.500).



(4)
Entry from Alexandria via LeMat-Bulk: a relaxed LaTl2Mo crystal (PBE-GGA).

As for the formation energy: 0.326 eV/atom. The calculation puts the total energy at -4.7970 eV/atom. The volume comes out at 97.4 Å³ per cell. The value obtained for the polymorph energy (0 for the lowest one) is 0.36 kcal/mol of atoms.

The structure belongs to space group Pmmm (No. 47); the cell edges are 3.261, 4.182 and 7.145 Å and the angles 90.00°, 90.00° and 90.00°. The distinct sites, in fractional coordinates, are La at (0.000, 0.000, 0.000), Tl at (0.500, 0.500, 0.290) and Mo at (0.000, 0.000, 0.500).